Be2VBi: relaxed, PBE-GGA.

Geometry as POSCAR:
```
Be2VBi
1.0
0.000 3.181 3.181
3.181 0.000 3.181
3.181 3.181 0.000
V Be Bi
1 2 1
direct
0.000 0.000 0.000
0.250 0.250 0.250
0.750 0.750 0.750
0.500 0.500 0.500
```

Summary:
As for the relative energy among the computed polymorphs: 0.0 kJ/mol of atoms. The energy of formation is 81.8 kJ/mol of atoms.